(1)
VASP calculation (PBE) on a relaxed structure of KSrCl2.

Structure (CIF):
```
data_KSrCl2
_chemical_formula_sum 'K3 Sr3 Cl6'
_space_group_name_H-M_alt 'R -3 m'
_space_group_IT_number 166
_space_group_name_Hall '-R 3 2"'
_cell_length_a 4.5992
_cell_length_b 4.5992
_cell_length_c 28.3943
_cell_angle_alpha 90.00
_cell_angle_beta 90.00
_cell_angle_gamma 120.00
loop_
_atom_site_label
_atom_site_type_symbol
_atom_site_fract_x
_atom_site_fract_y
_atom_site_fract_z
K1 K 0.0000 0.0000 0.0000
Sr1 Sr 0.0000 0.0000 0.5000
Cl1 Cl 0.0000 0.0000 0.1202
```

Values from the calculation:
* crystal system: trigonal
* energy relative to the elements, uncorrected: -1.80 eV per atom
* DOS at the Fermi energy: 3.3 states/eV/cell
* relative energy among the computed polymorphs: 0.0 meV per atom



(2)
VASP calculation (PBE) on a relaxed structure of K2SrCl.

Structure (CIF):
```
data_K2SrCl
_chemical_formula_sum 'K2 Sr1 Cl1'
_space_group_name_H-M_alt 'P 1 m 1'
_space_group_IT_number 6
_cell_length_a 4.3175
_cell_length_b 4.0866
_cell_length_c 11.4181
_cell_angle_alpha 90.00
_cell_angle_beta 100.83
_cell_angle_gamma 90.00
loop_
_space_group_symop_operation_xyz
'x,y,z'
'x,-y,z'
loop_
_atom_site_label
_atom_site_type_symbol
_atom_site_fract_x
_atom_site_fract_y
_atom_site_fract_z
K1 K 0.0000 0.0000 0.0000
K2 K 0.3280 0.5000 0.6541
Sr1 Sr 0.6743 0.0000 0.3476
Cl1 Cl 0.5702 0.5000 0.1391
```

Values from the calculation:
* crystal system: monoclinic
* energy relative to the elements, uncorrected: -0.81 eV per atom
* DOS at the Fermi energy: 2.6 states/eV/cell
* relative energy among the computed polymorphs: 75.7 meV per atom



(3)
VASP calculation (PBE) on a relaxed structure of K3Sr5Cl12.

Structure (CIF):
```
data_K3Sr5Cl12
_chemical_formula_sum 'K24 Sr40 Cl96'
_space_group_name_H-M_alt 'I a -3 d'
_space_group_IT_number 230
_space_group_name_Hall '-I 4bd 2c 3'
_cell_length_a 18.1642
_cell_length_b 18.1642
_cell_length_c 18.1642
_cell_angle_alpha 90.00
_cell_angle_beta 90.00
_cell_angle_gamma 90.00
loop_
_atom_site_label
_atom_site_type_symbol
_atom_site_fract_x
_atom_site_fract_y
_atom_site_fract_z
K1 K 0.0000 0.2500 0.1250
Sr1 Sr 0.0000 0.0000 0.0000
Sr2 Sr 0.0000 0.2500 0.3750
Cl1 Cl 0.0238 0.0574 0.6493
```

Values from the calculation:
* crystal system: cubic
* energy relative to the elements, uncorrected: -2.16 eV per atom
* DOS at the Fermi energy: 12.0 states/eV/cell



(4)
VASP calculation (PBE) on a relaxed structure of KSrCl.

Structure (CIF):
```
data_KSrCl
_chemical_formula_sum 'K4 Sr4 Cl4'
_space_group_name_H-M_alt 'F -4 3 m'
_space_group_IT_number 216
_space_group_name_Hall 'F -4 2 3'
_cell_length_a 7.7379
_cell_length_b 7.7379
_cell_length_c 7.7379
_cell_angle_alpha 90.00
_cell_angle_beta 90.00
_cell_angle_gamma 90.00
loop_
_atom_site_label
_atom_site_type_symbol
_atom_site_fract_x
_atom_site_fract_y
_atom_site_fract_z
K1 K 0.0000 0.0000 0.0000
Sr1 Sr 0.0000 0.0000 0.5000
Cl1 Cl 0.2500 0.2500 0.2500
```

Values from the calculation:
* crystal system: cubic
* energy relative to the elements, uncorrected: -0.83 eV per atom
* relative energy among the computed polymorphs: 302.4 meV per atom



(5)
VASP calculation (PBE) on a relaxed structure of K2SrCl.

Structure (CIF):
```
data_K2SrCl
_chemical_formula_sum 'K4 Sr2 Cl2'
_space_group_name_H-M_alt 'I -4 m 2'
_space_group_IT_number 119
_space_group_name_Hall 'I -4 -2'
_cell_length_a 5.4428
_cell_length_b 5.4428
_cell_length_c 13.6608
_cell_angle_alpha 90.00
_cell_angle_beta 90.00
_cell_angle_gamma 90.00
loop_
_atom_site_label
_atom_site_type_symbol
_atom_site_fract_x
_atom_site_fract_y
_atom_site_fract_z
K1 K 0.0000 0.0000 0.0000
K2 K 0.0000 0.5000 0.2500
Sr1 Sr 0.0000 0.5000 0.7500
Cl1 Cl 0.0000 0.0000 0.5000
```

Values from the calculation:
* crystal system: tetragonal
* energy relative to the elements, uncorrected: -0.46 eV per atom
* DOS at the Fermi energy: 4.8 states/eV/cell
* relative energy among the computed polymorphs: 430.1 meV per atom



(6)
VASP calculation (PBE) on a relaxed structure of K2SrCl.

Structure (CIF):
```
data_K2SrCl
_chemical_formula_sum 'K4 Sr2 Cl2'
_space_group_name_H-M_alt 'I 4/m m m'
_space_group_IT_number 139
_space_group_name_Hall '-I 4 2'
_cell_length_a 5.1401
_cell_length_b 5.1401
_cell_length_c 14.8155
_cell_angle_alpha 90.00
_cell_angle_beta 90.00
_cell_angle_gamma 90.00
loop_
_atom_site_label
_atom_site_type_symbol
_atom_site_fract_x
_atom_site_fract_y
_atom_site_fract_z
K1 K 0.0000 0.5000 0.2500
Sr1 Sr 0.0000 0.0000 0.0000
Cl1 Cl 0.0000 0.0000 0.5000
```

Values from the calculation:
* crystal system: tetragonal
* energy relative to the elements, uncorrected: -0.51 eV per atom
* DOS at the Fermi energy: 3.4 states/eV/cell
* relative energy among the computed polymorphs: 378.1 meV per atom



Q: Look up the energy relative to the elements, uncorrected of the third one.
A: -2.16 eV per atom



Q: Which of these has the highest energy relative to the elements, uncorrected?
A: number 5



Q: What is the formula in the second record?
A: K2SrCl